Record 1
CaTlAs2O: relaxed, GGA-PBE.

The structure belongs to space group P4/mmm (No. 123); the cell edges are 5.6589, 5.6589 and 4.1949 Å and the angles 90.00°, 90.00° and 90.00°. The asymmetric unit holds Ca at (0.0000, 0.0000, 0.0000), Tl at (0.5000, 0.5000, 0.5000), As at (0.0000, 0.5000, 0.0000) and O at (0.0000, 0.0000, 0.5000).

As for the energy above the most stable polymorph in this dataset: 0.0 meV per atom. The value obtained for the uncorrected formation energy is 79.8 meV/atom. The crystal system is tetragonal. For the total energy, the calculation gives -0.1340 hartree per atom.


Record 2
CaTl2AsO4: relaxed, GGA-PBE.

The structure belongs to space group Fddd (No. 70, origin choice 2); the cell edges are 5.7937, 11.1129 and 22.2081 Å and the angles 90.00°, 90.00° and 90.00°. The asymmetric unit holds Ca at (0.1250, 0.1250, 0.1250), Tl at (0.1250, 0.1250, 0.2796), As at (0.1250, 0.1250, 0.6250) and O at (0.0603, 0.2867, 0.8321).

The value obtained for the uncorrected formation energy is -1266.5 meV/atom. The crystal system is orthorhombic. For the total energy, the calculation gives -0.1899 hartree per atom.


Record 3
CaTmAs2O8: relaxed, GGA-PBE.

The structure belongs to space group I-4 (No. 82); the cell edges are 5.0555, 5.0555 and 11.4219 Å and the angles 90.00°, 90.00° and 90.00°. The asymmetric unit holds Ca at (0.0000, 0.0000, 0.0000), Tm at (0.0000, 0.5000, 0.7500), As at (0.0000, 0.0000, 0.5000), As at (0.0000, 0.5000, 0.2500), O at (0.1385, 0.2520, 0.5822) and O at (0.1525, 0.7526, 0.1736).

The value obtained for the uncorrected formation energy is -2040.4 meV/atom. The crystal system is tetragonal. For the total energy, the calculation gives -0.2448 hartree per atom.